A plane-wave DFT calculation with PBE-GGA was carried out for a relaxed AcCu2HgO5 crystal.

extended XYZ file:
```
9
Lattice="3.914 0.000 0.000 0.000 3.914 0.000 0.000 0.000 7.326" Properties=species:S:1:pos:R:3 pbc="T T T"
Ac 0.000 0.000 0.000
Cu 1.957 1.957 2.031
Cu 1.957 1.957 5.295
Hg 0.000 0.000 3.663
O 0.000 1.957 2.007
O 0.000 1.957 5.319
O 1.957 0.000 2.007
O 1.957 0.000 5.319
O 1.957 1.957 0.000
```

Total DFT energy (no corrections) in eV/atom: -5.33
Uncorrected formation energy in eV per atom: -1.17
V in Å³/cell: 112